Entry 1:
## CrMo2Se (PBE-GGA)

Data for a relaxed structure of CrMo2Se.

POSCAR file:
```
CrMo2Se
1.0
-1.5844 2.1223 4.4197
1.5844 -2.1223 4.4197
1.5844 2.1223 -4.4197
Cr Mo Se
1 2 1
direct
0.0000 0.0000 0.0000
0.2505 0.7505 0.5000
0.7495 0.2495 0.5000
0.5000 0.5000 0.0000
```

Output
The space group is Immm. As for the crystal system: orthorhombic. The value obtained for the total energy is -8.42 eV per atom. The calculation puts the energy relative to the elements, uncorrected at 104 kJ/mol of formula units.

=====

Entry 2:
## CrMoSe (PBE-GGA)

Data for a relaxed structure of CrMoSe.

POSCAR file:
```
CrMoSe
1.0
3.1639 0.0000 0.0000
-1.5819 2.7400 0.0000
0.0000 0.0000 11.0996
Cr Mo Se
2 2 2
direct
0.0000 0.0000 0.1650
0.0000 0.0000 0.8350
0.0000 0.0000 0.5000
0.6667 0.3333 0.0000
0.6667 0.3333 0.3351
0.6667 0.3333 0.6649
```

Output
The space group is P-6m2. As for the crystal system: hexagonal. The value obtained for the total energy is -7.74 eV per atom. The calculation puts the energy relative to the elements, uncorrected at 70 kJ/mol of formula units.

=====

Entry 3:
## CrMo2Se (PBE-GGA)

Data for a relaxed structure of CrMo2Se.

POSCAR file:
```
CrMo2Se
1.0
2.9574 0.0000 0.0000
0.0000 4.3322 0.0000
-1.4538 0.0000 4.7062
Cr Mo Se
1 2 1
direct
0.0000 0.0000 0.0000
0.4221 0.0000 0.4867
0.6661 0.5000 0.2220
0.9590 0.5000 0.7598
```

Output
The space group is Pm. As for the crystal system: monoclinic. The value obtained for the total energy is -8.46 eV per atom. The calculation puts the energy relative to the elements, uncorrected at 90 kJ/mol of formula units.

=====

Entry 4:
## CrMo2Se (PBE-GGA)

Data for a relaxed structure of CrMo2Se.

POSCAR file:
```
CrMo2Se
1.0
3.1878 0.0000 0.0000
0.0000 3.1878 0.0000
0.0000 0.0000 6.0181
Cr Mo Se
1 2 1
direct
0.0000 0.0000 0.0000
0.0000 0.0000 0.4895
0.5000 0.5000 0.2041
0.5000 0.5000 0.7285
```

Output
The space group is P4mm. As for the crystal system: tetragonal. The value obtained for the total energy is -8.53 eV per atom. The calculation puts the energy relative to the elements, uncorrected at 63 kJ/mol of formula units.

=====

Entry 5:
## CrMo2Se (PBE-GGA)

Data for a relaxed structure of CrMo2Se.

POSCAR file:
```
CrMo2Se
1.0
1.5777 -2.3034 0.0000
1.5777 2.3034 0.0000
0.0000 0.0000 8.5250
Cr Mo Se
1 2 1
direct
0.0000 0.0000 0.0000
0.5000 0.5000 0.2300
0.5000 0.5000 0.7700
0.0000 0.0000 0.5000
```

Output
The space group is Cmmm. As for the crystal system: orthorhombic. The value obtained for the total energy is -8.27 eV per atom. The calculation puts the energy relative to the elements, uncorrected at 165 kJ/mol of formula units.

=====

Entry 6:
## CrMo2Se (PBE-GGA)

Data for a relaxed structure of CrMo2Se.

POSCAR file:
```
CrMo2Se
1.0
-1.8476 1.8476 9.7707
1.8476 -1.8476 9.7707
1.8476 1.8476 -9.7707
Cr Mo Se
2 4 2
direct
0.0000 0.0000 0.0000
0.7500 0.2500 0.5000
0.1314 0.6250 0.0064
0.3750 0.3814 0.5064
0.6186 0.1250 0.9936
0.8750 0.8686 0.4936
0.2500 0.7500 0.5000
0.5000 0.5000 0.0000
```

Output
The space group is I-42d. As for the crystal system: tetragonal. The value obtained for the total energy is -8.15 eV per atom. The calculation puts the energy relative to the elements, uncorrected at 208 kJ/mol of formula units.

=====

Entry 7:
## CrMoSe (PBE-GGA)

Data for a relaxed structure of CrMoSe.

POSCAR file:
```
CrMoSe
1.0
-1.4911 1.4911 4.8084
1.4911 -1.4911 4.8084
1.4911 1.4911 -4.8084
Cr Mo Se
1 1 1
direct
0.0000 0.0000 0.0000
0.6806 0.6806 0.0000
0.3659 0.3659 0.0000
```

Output
The space group is I4mm. As for the crystal system: tetragonal. The value obtained for the total energy is -7.75 eV per atom. The calculation puts the energy relative to the elements, uncorrected at 66 kJ/mol of formula units.

=====

Entry 8:
## CrMoSe6 (PBE-GGA)

Data for a relaxed structure of CrMoSe6.

POSCAR file:
```
CrMoSe6
1.0
5.9923 0.0000 0.0000
2.9084 5.4336 0.0000
2.9405 0.8905 5.4644
Cr Mo Se
1 1 6
direct
0.0000 0.0000 0.0000
0.5000 0.5000 0.5000
0.0848 0.4019 0.8221
0.1876 0.9051 0.3223
0.4605 0.7475 0.7603
0.5395 0.2525 0.2397
0.8124 0.0949 0.6777
0.9152 0.5981 0.1779
```

Output
The space group is P-1. As for the crystal system: triclinic. The value obtained for the total energy is -5.35 eV per atom. The calculation puts the energy relative to the elements, uncorrected at -135 kJ/mol of formula units.

=====

Entry 9:
## CrMoSe4 (PBE-GGA)

Data for a relaxed structure of CrMoSe4.

POSCAR file:
```
CrMoSe4
1.0
7.3808 -1.6107 0.0000
7.3808 1.6107 0.0000
-1.2784 0.0000 5.7305
Cr Mo Se
1 1 4
direct
0.0000 0.0000 0.0000
0.5118 0.5118 0.3867
0.1343 0.1343 0.3310
0.3809 0.3809 0.0348
0.5980 0.5980 0.8279
0.9098 0.9098 0.5777
```

Output
The space group is Cm. As for the crystal system: monoclinic. The value obtained for the total energy is -6.22 eV per atom. The calculation puts the energy relative to the elements, uncorrected at -283 kJ/mol of formula units.

=====

Entry 10:
## CrMoSe (PBE-GGA)

Data for a relaxed structure of CrMoSe.

POSCAR file:
```
CrMoSe
1.0
3.0701 0.0000 0.0000
-1.5350 2.6588 0.0000
0.0000 0.0000 5.8083
Cr Mo Se
1 1 1
direct
0.0000 0.0000 0.0000
0.3333 0.6667 0.2836
0.6667 0.3333 0.6642
```

Output
The space group is P3m1. As for the crystal system: trigonal. The value obtained for the total energy is -7.69 eV per atom. The calculation puts the energy relative to the elements, uncorrected at 84 kJ/mol of formula units.

=====

Entry 11:
## CrMo3Se (PBE-GGA)

Data for a relaxed structure of CrMo3Se.

POSCAR file:
```
CrMo3Se
1.0
4.5456 0.0000 0.0000
0.0000 4.5456 0.0000
0.0000 0.0000 4.5456
Cr Mo Se
1 3 1
direct
0.0000 0.0000 0.0000
0.0000 0.5000 0.5000
0.5000 0.0000 0.5000
0.5000 0.5000 0.0000
0.5000 0.5000 0.5000
```

Output
The space group is Pm-3m. As for the crystal system: cubic. The value obtained for the total energy is -7.62 eV per atom. The calculation puts the energy relative to the elements, uncorrected at 724 kJ/mol of formula units.

=====

Entry 12:
## CrMo3Se (PBE-GGA)

Data for a relaxed structure of CrMo3Se.

POSCAR file:
```
CrMo3Se
1.0
4.5244 0.0000 0.0000
0.0000 4.5244 0.0000
0.0000 0.0000 4.5244
Cr Mo Se
1 3 1
direct
0.0000 0.0000 0.0000
0.0000 0.0000 0.5000
0.0000 0.5000 0.0000
0.5000 0.0000 0.0000
0.5000 0.5000 0.5000
```

Output
The space group is Pm-3m. As for the crystal system: cubic. The value obtained for the total energy is -7.81 eV per atom. The calculation puts the energy relative to the elements, uncorrected at 632 kJ/mol of formula units.

=====

Entry 13:
## CrMoSe (PBE-GGA)

Data for a relaxed structure of CrMoSe.

POSCAR file:
```
CrMoSe
1.0
4.1138 0.0000 0.0000
-2.0569 3.5626 0.0000
0.0000 0.0000 2.9574
Cr Mo Se
1 1 1
direct
0.0000 0.0000 0.0000
0.3333 0.6667 0.5072
0.6667 0.3333 0.0036
```

Output
The space group is P3m1. As for the crystal system: trigonal. The value obtained for the total energy is -7.76 eV per atom. The calculation puts the energy relative to the elements, uncorrected at 64 kJ/mol of formula units.

=====

Entry 14:
## CrMo2Se (PBE-GGA)

Data for a relaxed structure of CrMo2Se.

POSCAR file:
```
CrMo2Se
1.0
0.0000 3.1024 3.1024
3.1024 0.0000 3.1024
3.1024 3.1024 0.0000
Cr Mo Se
1 2 1
direct
0.0000 0.0000 0.0000
0.5000 0.5000 0.5000
0.7500 0.7500 0.7500
0.2500 0.2500 0.2500
```

Output
The space group is F-43m. As for the crystal system: cubic. The value obtained for the total energy is -8.20 eV per atom. The calculation puts the energy relative to the elements, uncorrected at 190 kJ/mol of formula units.

=====

Entry 15:
## CrMo4Se (PBE-GGA)

Data for a relaxed structure of CrMo4Se.

POSCAR file:
```
CrMo4Se
1.0
0.0000 3.7127 3.7127
3.7127 0.0000 3.7127
3.7127 3.7127 0.0000
Cr Mo Se
1 4 1
direct
0.0000 0.0000 0.0000
0.1253 0.6249 0.6249
0.6249 0.1253 0.6249
0.6249 0.6249 0.1253
0.6249 0.6249 0.6249
0.2500 0.2500 0.2500
```

Output
The space group is F-43m. As for the crystal system: cubic. The value obtained for the total energy is -8.73 eV per atom. The calculation puts the energy relative to the elements, uncorrected at 393 kJ/mol of formula units.

=====

Entry 16:
## CrMo2Se (PBE-GGA)

Data for a relaxed structure of CrMo2Se.

POSCAR file:
```
CrMo2Se
1.0
2.6492 -4.1245 0.0000
2.6492 4.1245 0.0000
-0.9151 0.0000 2.7964
Cr Mo Se
1 2 1
direct
0.0000 0.0000 0.0000
0.0000 0.5000 0.5000
0.5000 0.0000 0.5000
0.5000 0.5000 0.0000
```

Output
The space group is C2/m. As for the crystal system: monoclinic. The value obtained for the total energy is -8.29 eV per atom. The calculation puts the energy relative to the elements, uncorrected at 157 kJ/mol of formula units.

=====

Entry 17:
## Cr3MoSe (PBE-GGA)

Data for a relaxed structure of Cr3MoSe.

POSCAR file:
```
Cr3MoSe
1.0
4.2863 0.0000 0.0000
0.0000 4.2863 0.0000
0.0000 0.0000 4.2863
Cr Mo Se
3 1 1
direct
0.0000 0.0000 0.5000
0.0000 0.5000 0.0000
0.5000 0.0000 0.0000
0.5000 0.5000 0.5000
0.0000 0.0000 0.0000
```

Output
The space group is Pm-3m. As for the crystal system: cubic. The value obtained for the total energy is -7.47 eV per atom. The calculation puts the energy relative to the elements, uncorrected at 564 kJ/mol of formula units.

=====

Entry 18:
## CrMo2Se2 (PBE-GGA)

Data for a relaxed structure of CrMo2Se2.

POSCAR file:
```
CrMo2Se2
1.0
7.2235 0.0000 0.0000
0.0000 7.2235 0.0000
0.0000 0.0000 3.2098
Cr Mo Se
2 4 4
direct
0.0000 0.0000 0.0000
0.5000 0.5000 0.0000
0.1427 0.3573 0.0000
0.3573 0.8573 0.0000
0.6427 0.1427 0.0000
0.8573 0.6427 0.0000
0.1533 0.6533 0.5000
0.3467 0.1533 0.5000
0.6533 0.8467 0.5000
0.8467 0.3467 0.5000
```

Output
The space group is P4/mbm. As for the crystal system: tetragonal. The value obtained for the total energy is -7.26 eV per atom. The calculation puts the energy relative to the elements, uncorrected at 188 kJ/mol of formula units.

=====

Entry 19:
## CrMo2Se (PBE-GGA)

Data for a relaxed structure of CrMo2Se.

POSCAR file:
```
CrMo2Se
1.0
1.5140 0.8741 7.9490
-1.5140 0.8741 7.9490
0.0000 -1.7482 7.9490
Cr Mo Se
1 2 1
direct
0.0000 0.0000 0.0000
0.5000 0.5000 0.5000
0.7400 0.7400 0.7400
0.2471 0.2471 0.2471
```

Output
The space group is R3m. As for the crystal system: trigonal. The value obtained for the total energy is -8.37 eV per atom. The calculation puts the energy relative to the elements, uncorrected at 124 kJ/mol of formula units.

=====

Entry 20:
## Cr3MoSe (PBE-GGA)

Data for a relaxed structure of Cr3MoSe.

POSCAR file:
```
Cr3MoSe
1.0
4.7329 0.0000 0.0000
0.0000 4.7329 0.0000
0.0000 0.0000 4.7329
Cr Mo Se
3 1 1
direct
0.0000 0.0000 0.5000
0.0000 0.5000 0.0000
0.5000 0.0000 0.0000
0.0000 0.0000 0.0000
0.5000 0.5000 0.5000
```

Output
The space group is Pm-3m. As for the crystal system: cubic. The value obtained for the total energy is -7.30 eV per atom. The calculation puts the energy relative to the elements, uncorrected at 647 kJ/mol of formula units.